# BaSi4O9 PBE relaxed
# DOS(E_F) = 0.00 states/eV/atom
# energy relative to the elements, uncorrected = -2.8394 eV per atom
data_BaSi4O9
_cell_length_a 6.5788
_cell_length_b 6.5788
_cell_length_c 9.4692
_cell_angle_alpha 90.00
_cell_angle_beta 90.00
_cell_angle_gamma 120.00
_space_group_name_H-M_alt 'P -6 c 2'
_space_group_IT_number 188
_space_group_name_Hall 'P -6c 2'
loop_
_atom_site_label
_atom_site_fract_x
_atom_site_fract_y
_atom_site_fract_z
Ba1 0.0000 0.0000 0.0000
Si1 0.0329 0.4554 0.2500
Si2 0.6667 0.3333 0.0000
O1 0.1463 0.4023 0.7500
O2 0.4395 0.1098 0.1069


# Al2AsP PBE relaxed
# energy above the most stable polymorph in this dataset = 2.71 eV/f.u.
# formation enthalpy at 0 K = 129 meV per atom
# DOS(E_F) = 0.37 states/eV/atom
data_Al2AsP
_cell_length_a 5.748
_cell_length_b 6.733
_cell_length_c 3.411
_cell_angle_alpha 90.00
_cell_angle_beta 90.00
_cell_angle_gamma 90.00
_space_group_name_H-M_alt 'C m m m'
_space_group_IT_number 65
_space_group_name_Hall '-C 2 2'
loop_
_atom_site_label
_atom_site_fract_x
_atom_site_fract_y
_atom_site_fract_z
Al1 0.250 0.250 0.000
As1 0.000 0.000 0.500
P1 0.000 0.500 0.500


# Mg2PIr PBE relaxed
# formation enthalpy at 0 K = -115 meV per atom
# DOS(E_F) = 0.78 states/eV/atom
data_Mg2PIr
_cell_length_a 2.9857
_cell_length_b 2.9857
_cell_length_c 25.3151
_cell_angle_alpha 90.00
_cell_angle_beta 90.00
_cell_angle_gamma 120.00
_space_group_name_H-M_alt 'R -3 m'
_space_group_IT_number 166
_space_group_name_Hall '-R 3 2"'
loop_
_atom_site_label
_atom_site_fract_x
_atom_site_fract_y
_atom_site_fract_z
Mg1 0.0000 0.0000 0.2477
P1 0.0000 0.0000 0.0000
Ir1 0.0000 0.0000 0.5000


# YSb3Ir PBE relaxed
# energy above the most stable polymorph in this dataset = 0.00 eV/f.u.
# DOS(E_F) = 1.19 states/eV/atom
# energy relative to the elements, uncorrected = 0.1643 eV per atom
data_YSb3Ir
_cell_length_a 5.231
_cell_length_b 5.231
_cell_length_c 5.231
_cell_angle_alpha 90.00
_cell_angle_beta 90.00
_cell_angle_gamma 90.00
_space_group_name_H-M_alt 'P m -3 m'
_space_group_IT_number 221
_space_group_name_Hall '-P 4 2 3'
loop_
_atom_site_label
_atom_site_fract_x
_atom_site_fract_y
_atom_site_fract_z
Y1 0.000 0.000 0.000
Sb1 0.000 0.500 0.500
Ir1 0.500 0.500 0.500


# ZrVP PBE relaxed
# energy above the most stable polymorph in this dataset = 0.07 eV/f.u.
# formation enthalpy at 0 K = -1081 meV per atom
# DOS(E_F) = 0.51 states/eV/atom
data_ZrVP
_cell_length_a 6.777
_cell_length_b 3.505
_cell_length_c 11.698
_cell_angle_alpha 90.00
_cell_angle_beta 90.09
_cell_angle_gamma 90.00
_space_group_name_H-M_alt 'P 1 21/m 1'
_space_group_IT_number 11
_space_group_name_Hall '-P 2yb'
loop_
_atom_site_label
_atom_site_fract_x
_atom_site_fract_y
_atom_site_fract_z
Zr1 0.037 0.250 0.281
Zr2 0.356 0.750 0.912
Zr3 0.463 0.750 0.618
V1 0.006 0.250 0.920
V2 0.128 0.250 0.539
V3 0.363 0.750 0.203
P1 0.238 0.750 0.411
P2 0.244 0.250 0.079
P3 0.261 0.250 0.749


# BeTl2Pt PBE relaxed
# energy above the most stable polymorph in this dataset = 2.02 eV/f.u.
# formation enthalpy at 0 K = 415 meV per atom
# DOS(E_F) = 0.31 states/eV/atom
data_BeTl2Pt
_cell_length_a 8.724
_cell_length_b 3.914
_cell_length_c 4.825
_cell_angle_alpha 90.00
_cell_angle_beta 98.54
_cell_angle_gamma 90.00
_space_group_name_H-M_alt 'C 1 2/m 1'
_space_group_IT_number 12
_space_group_name_Hall '-C 2y'
loop_
_atom_site_label
_atom_site_fract_x
_atom_site_fract_y
_atom_site_fract_z
Be1 0.000 0.000 0.000
Tl1 0.232 0.000 0.748
Pt1 0.000 0.500 0.500


# ThNiAg PBE relaxed
# energy above the most stable polymorph in this dataset = 0.71 eV/f.u.
# formation enthalpy at 0 K = -127 meV per atom
# DOS(E_F) = 0.99 states/eV/atom
data_ThNiAg
_cell_length_a 6.494
_cell_length_b 6.494
_cell_length_c 6.494
_cell_angle_alpha 90.00
_cell_angle_beta 90.00
_cell_angle_gamma 90.00
_space_group_name_H-M_alt 'F -4 3 m'
_space_group_IT_number 216
_space_group_name_Hall 'F -4 2 3'
loop_
_atom_site_label
_atom_site_fract_x
_atom_site_fract_y
_atom_site_fract_z
Th1 0.000 0.000 0.000
Ni1 0.250 0.250 0.750
Ag1 0.000 0.000 0.500


# LaHgSeS2 PBE relaxed
# DOS(E_F) = 0.57 states/eV/atom
# energy relative to the elements, uncorrected = -0.2494 eV per atom
data_LaHgSeS2
_cell_length_a 4.946
_cell_length_b 4.946
_cell_length_c 5.177
_cell_angle_alpha 90.00
_cell_angle_beta 90.00
_cell_angle_gamma 90.00
_space_group_name_H-M_alt 'P 4/m m m'
_space_group_IT_number 123
_space_group_name_Hall '-P 4 2'
loop_
_atom_site_label
_atom_site_fract_x
_atom_site_fract_y
_atom_site_fract_z
La1 0.000 0.000 0.000
Hg1 0.500 0.500 0.000
Se1 0.500 0.500 0.500
S1 0.000 0.500 0.500


| no. | total energy (eV/atom) |
| --- | --- |
| 1 | -7.714 |
| 2 | -4.257 |
| 3 | -4.480 |
| 4 | -5.374 |
| 5 | -8.773 |
| 6 | -3.210 |
| 7 | -5.478 |
| 8 | -3.643 |